Record 1
Here is a geometry-optimized PuTlBr structure from Alexandria. Energies are from PBE.

Calculated values
Space-group type: No. 63
Calculated total energy, eV/atom: -6.43
Size of the total moment, μB/atom: 0.000

a = 3.365 Å, b = 6.368 Å, c = 8.809 Å
α = 68.81°, β = 90.00°, γ = 90.00°
Fractional positions:
Tl1 0.750 0.914 0.173
Tl2 0.250 0.086 0.827
Br1 0.250 0.314 0.371
Br2 0.750 0.686 0.629
Pu1 0.750 0.452 0.097
Pu2 0.250 0.548 0.903

Record 2
Here is a geometry-optimized PuTl3Br6 structure from Alexandria. Energies are from PBE.

Calculated values
Space-group type: No. 14
Energy relative to the lowest polymorph listed for this composition, meV/atom: 0.0
Calculated total energy, eV/atom: -4.28
Size of the total moment, μB/atom: 0.500

a = 7.817 Å, b = 8.674 Å, c = 11.356 Å
α = 90.00°, β = 86.51°, γ = 90.00°
Fractional positions:
Br1 0.303 0.830 0.051
Br2 0.342 0.780 0.420
Br3 0.803 0.670 0.551
Br4 0.197 0.330 0.449
Br5 0.842 0.720 0.920
Br6 0.856 0.933 0.234
Br7 0.658 0.220 0.580
Br8 0.144 0.067 0.766
Br9 0.644 0.433 0.266
Br10 0.356 0.567 0.734
Br11 0.697 0.170 0.949
Br12 0.158 0.280 0.080
Tl1 0.500 0.500 0.000
Tl2 0.032 0.581 0.267
Tl3 0.000 0.000 0.500
Tl4 0.532 0.919 0.767
Tl5 0.968 0.419 0.733
Tl6 0.468 0.081 0.233
Pu1 0.000 0.000 0.000
Pu2 0.500 0.500 0.500

Record 3
Here is a geometry-optimized Pu3Tl2Br8 structure from Alexandria. Energies are from PBE.

Calculated values
Space-group type: No. 12
Calculated total energy, eV/atom: -5.95
Size of the total moment, μB/atom: 1.385

a = 7.383 Å, b = 8.567 Å, c = 9.315 Å
α = 117.38°, β = 104.57°, γ = 90.00°
Fractional positions:
Br1 0.058 0.388 0.776
Br2 0.898 0.108 0.217
Br3 0.398 0.348 0.217
Br4 0.942 0.612 0.224
Br5 0.398 0.869 0.217
Br6 0.602 0.131 0.783
Br7 0.102 0.892 0.783
Br8 0.602 0.652 0.783
Pu1 0.500 0.000 0.000
Pu2 0.000 0.248 0.000
Pu3 0.000 0.752 0.000
Tl1 0.665 0.736 0.472
Tl2 0.335 0.264 0.528

Record 4
Here is a geometry-optimized Pu2Tl3Br8 structure from Alexandria. Energies are from PBE.

Calculated values
Space-group type: No. 12
Calculated total energy, eV/atom: -4.98
Size of the total moment, μB/atom: 0.846

a = 7.463 Å, b = 9.379 Å, c = 9.379 Å
α = 56.99°, β = 75.05°, γ = 75.05°
Fractional positions:
Tl1 0.500 0.000 0.000
Tl2 0.000 0.260 0.740
Tl3 0.000 0.740 0.260
Br1 0.773 0.091 0.609
Br2 0.225 0.361 0.361
Br3 0.773 0.609 0.091
Br4 0.227 0.909 0.391
Br5 0.760 0.134 0.134
Br6 0.227 0.391 0.909
Br7 0.240 0.866 0.866
Br8 0.775 0.639 0.639
Pu1 0.013 0.748 0.748
Pu2 0.987 0.252 0.252